P:
A plane-wave DFT calculation with GGA-PBE was carried out for a relaxed structure of MgPbBr.

DOS(E_F) (states/eV/f.u.): 1.16

a = 5.1692 Å, b = 5.1692 Å, c = 3.5299 Å
α = 90.00°, β = 90.00°, γ = 120.00°
Space group P-6m2 (No. 187)
Unique sites:
1 Mg 0.0000 0.0000 0.0000 (multiplicity 1)
2 Pb 0.6667 0.3333 0.5000 (multiplicity 1)
3 Br 0.3333 0.6667 0.0000 (multiplicity 1)

Q:
A plane-wave DFT calculation with GGA-PBE was carried out for a relaxed structure of MgPbBr.

DOS(E_F) (states/eV/f.u.): 2.20

a = 3.6155 Å, b = 3.6155 Å, c = 8.1362 Å
α = 90.00°, β = 90.00°, γ = 120.00°
Space group P3m1 (No. 156)
Unique sites:
1 Mg 0.0000 0.0000 0.0000 (multiplicity 1)
2 Pb 0.6667 0.3333 0.3126 (multiplicity 1)
3 Br 0.3333 0.6667 0.7989 (multiplicity 1)

Verdict on stability: Q comes out on top.

P:
A plane-wave DFT calculation with GGA-PBE was carried out for a relaxed structure of MgPbBr.

DOS(E_F) (states/eV/f.u.): 1.14

a = 3.403 Å, b = 3.403 Å, c = 15.741 Å
α = 90.00°, β = 90.00°, γ = 90.00°
Space group I4mm (No. 107)
Unique sites:
1 Mg 0.000 0.000 0.000 (multiplicity 2)
2 Pb 0.000 0.000 0.349 (multiplicity 2)
3 Br 0.000 0.000 0.598 (multiplicity 2)

Q:
A plane-wave DFT calculation with GGA-PBE was carried out for a relaxed structure of MgPbBr.

DOS(E_F) (states/eV/f.u.): 1.59

a = 3.744 Å, b = 6.053 Å, c = 16.164 Å
α = 90.00°, β = 90.00°, γ = 90.00°
Space group Fmm2 (No. 42)
Unique sites:
1 Mg 0.000 0.000 0.000 (multiplicity 4)
2 Pb 0.000 0.000 0.657 (multiplicity 4)
3 Br 0.000 0.000 0.391 (multiplicity 4)

Verdict on stability: Q comes out on top.

P:
A plane-wave DFT calculation with GGA-PBE was carried out for a relaxed structure of MgPbBr.

DOS(E_F) (states/eV/f.u.): 0.82

a = 16.527 Å, b = 3.621 Å, c = 6.270 Å
α = 90.00°, β = 90.00°, γ = 90.00°
Space group Amm2 (No. 38)
Unique sites:
1 Mg 0.000 0.000 0.000 (multiplicity 2)
2 Mg 0.500 0.000 0.220 (multiplicity 2)
3 Pb 0.354 0.000 0.887 (multiplicity 4)
4 Br 0.103 0.000 0.333 (multiplicity 4)

Q:
A plane-wave DFT calculation with GGA-PBE was carried out for a relaxed structure of MgPbBr.

DOS(E_F) (states/eV/f.u.): 2.89

a = 7.333 Å, b = 7.333 Å, c = 7.333 Å
α = 90.00°, β = 90.00°, γ = 90.00°
Space group F-43m (No. 216)
Unique sites:
1 Mg 0.000 0.000 0.000 (multiplicity 4)
2 Pb 0.250 0.250 0.250 (multiplicity 4)
3 Br 0.250 0.250 0.750 (multiplicity 4)

Verdict on stability: P comes out on top.

P:
A plane-wave DFT calculation with GGA-PBE was carried out for a relaxed structure of MgPb3Br.

DOS(E_F) (states/eV/f.u.): 5.29

a = 5.614 Å, b = 5.614 Å, c = 5.614 Å
α = 90.00°, β = 90.00°, γ = 90.00°
Space group Pm-3m (No. 221)
Unique sites:
1 Mg 0.000 0.000 0.000 (multiplicity 1)
2 Pb 0.000 0.000 0.500 (multiplicity 3)
3 Br 0.500 0.500 0.500 (multiplicity 1)

Q:
A plane-wave DFT calculation with GGA-PBE was carried out for a relaxed structure of MgPb3Br.

DOS(E_F) (states/eV/f.u.): 4.32

a = 5.740 Å, b = 5.740 Å, c = 5.740 Å
α = 90.00°, β = 90.00°, γ = 90.00°
Space group Pm-3m (No. 221)
Unique sites:
1 Mg 0.000 0.000 0.000 (multiplicity 1)
2 Pb 0.000 0.500 0.500 (multiplicity 3)
3 Br 0.500 0.500 0.500 (multiplicity 1)

Verdict on stability: P comes out on top.

P:
A plane-wave DFT calculation with GGA-PBE was carried out for a relaxed structure of MgPb2Br6.

DOS(E_F) (states/eV/f.u.): 0.00

a = 6.925 Å, b = 6.925 Å, c = 13.184 Å
α = 90.00°, β = 90.00°, γ = 90.00°
Space group P4_2/mnm (No. 136)
Unique sites:
1 Mg 0.000 0.000 0.000 (multiplicity 2)
2 Pb 0.000 0.000 0.334 (multiplicity 4)
3 Br 0.187 0.187 0.151 (multiplicity 8)
4 Br 0.218 0.218 0.500 (multiplicity 4)

Q:
A plane-wave DFT calculation with GGA-PBE was carried out for a relaxed structure of MgPb2Br6.

DOS(E_F) (states/eV/f.u.): 0.00

a = 15.428 Å, b = 4.223 Å, c = 10.688 Å
α = 90.00°, β = 106.40°, γ = 90.00°
Space group C2/m (No. 12)
Unique sites:
1 Mg 0.000 0.000 0.000 (multiplicity 2)
2 Pb 0.163 0.500 0.325 (multiplicity 4)
3 Br 0.013 0.000 0.254 (multiplicity 4)
4 Br 0.124 0.500 0.033 (multiplicity 4)
5 Br 0.189 0.500 0.628 (multiplicity 4)

Verdict on stability: Q comes out on top.

P:
A plane-wave DFT calculation with GGA-PBE was carried out for a relaxed structure of Mg2PdBr.

DOS(E_F) (states/eV/f.u.): 1.37

a = 7.098 Å, b = 7.098 Å, c = 7.463 Å
α = 90.00°, β = 90.00°, γ = 90.00°
Space group I-42d (No. 122)
Unique sites:
1 Mg 0.233 0.250 0.125 (multiplicity 8)
2 Pd 0.000 0.000 0.000 (multiplicity 4)
3 Br 0.000 0.000 0.500 (multiplicity 4)

Q:
A plane-wave DFT calculation with GGA-PBE was carried out for a relaxed structure of Mg2PdBr.

DOS(E_F) (states/eV/f.u.): 1.40

a = 6.876 Å, b = 6.876 Å, c = 6.876 Å
α = 90.00°, β = 90.00°, γ = 90.00°
Space group Fm-3m (No. 225)
Unique sites:
1 Mg 0.250 0.250 0.250 (multiplicity 8)
2 Pd 0.000 0.000 0.000 (multiplicity 4)
3 Br 0.000 0.000 0.500 (multiplicity 4)

Verdict on stability: P comes out on top.

P:
A plane-wave DFT calculation with GGA-PBE was carried out for a relaxed structure of MgPdBr2.

DOS(E_F) (states/eV/f.u.): 2.87

a = 3.8228 Å, b = 3.8228 Å, c = 24.0427 Å
α = 90.00°, β = 90.00°, γ = 120.00°
Space group R-3m (No. 166, hexagonal axes)
Unique sites:
1 Mg 0.0000 0.0000 0.0000 (multiplicity 3)
2 Pd 0.0000 0.0000 0.5000 (multiplicity 3)
3 Br 0.0000 0.0000 0.3970 (multiplicity 6)

Q:
A plane-wave DFT calculation with GGA-PBE was carried out for a relaxed structure of MgPdBr2.

DOS(E_F) (states/eV/f.u.): 0.03

a = 6.927 Å, b = 6.927 Å, c = 6.927 Å
α = 90.00°, β = 90.00°, γ = 90.00°
Space group Fm-3m (No. 225)
Unique sites:
1 Mg 0.000 0.000 0.000 (multiplicity 4)
2 Pd 0.000 0.000 0.500 (multiplicity 4)
3 Br 0.250 0.250 0.250 (multiplicity 8)

Verdict on stability: P comes out on top.

P:
A plane-wave DFT calculation with GGA-PBE was carried out for a relaxed structure of MgPdBr6.

DOS(E_F) (states/eV/f.u.): 2.84

a = 6.664 Å, b = 12.074 Å, c = 6.634 Å
α = 90.00°, β = 111.79°, γ = 90.00°
Space group C2/m (No. 12)
Unique sites:
1 Mg 0.000 0.000 0.000 (multiplicity 2)
2 Pd 0.000 0.500 0.500 (multiplicity 2)
3 Br 0.229 0.500 0.274 (multiplicity 4)
4 Br 0.241 0.354 0.745 (multiplicity 8)

Q:
A plane-wave DFT calculation with GGA-PBE was carried out for a relaxed structure of MgPdBr6.

a = 6.6064 Å, b = 6.6064 Å, c = 17.4506 Å
α = 90.00°, β = 90.00°, γ = 120.00°
Space group R-3 (No. 148, hexagonal axes)
Unique sites:
1 Mg 0.0000 0.0000 0.0000 (multiplicity 3)
2 Pd 0.0000 0.0000 0.5000 (multiplicity 3)
3 Br 0.0034 0.3171 0.4173 (multiplicity 18)

Verdict on stability: P comes out on top.

P:
A plane-wave DFT calculation with GGA-PBE was carried out for a relaxed structure of Pm2MgBr.

DOS(E_F) (states/eV/f.u.): 3.39

a = 3.563 Å, b = 3.563 Å, c = 8.863 Å
α = 90.00°, β = 90.00°, γ = 90.00°
Space group P4/mmm (No. 123)
Unique sites:
1 Pm 0.000 0.000 0.247 (multiplicity 2)
2 Mg 0.500 0.500 0.000 (multiplicity 1)
3 Br 0.500 0.500 0.500 (multiplicity 1)

Q:
A plane-wave DFT calculation with GGA-PBE was carried out for a relaxed structure of Pm2MgBr.

DOS(E_F) (states/eV/f.u.): 4.35

a = 3.6708 Å, b = 3.6708 Å, c = 30.2936 Å
α = 90.00°, β = 90.00°, γ = 120.00°
Space group R3m (No. 160, hexagonal axes)
Unique sites:
1 Pm 0.0000 0.0000 0.0000 (multiplicity 3)
2 Pm 0.0000 0.0000 0.1757 (multiplicity 3)
3 Mg 0.0000 0.0000 0.4210 (multiplicity 3)
4 Br 0.0000 0.0000 0.5875 (multiplicity 3)

Verdict on stability: Q comes out on top.

P:
A plane-wave DFT calculation with GGA-PBE was carried out for a relaxed structure of MgPt2Br.

DOS(E_F) (states/eV/f.u.): 2.50

a = 2.950 Å, b = 3.760 Å, c = 6.659 Å
α = 90.00°, β = 90.00°, γ = 90.00°
Space group Pmmm (No. 47)
Unique sites:
1 Mg 0.000 0.000 0.000 (multiplicity 1)
2 Pt 0.500 0.500 0.201 (multiplicity 2)
3 Br 0.000 0.000 0.500 (multiplicity 1)

Q:
A plane-wave DFT calculation with GGA-PBE was carried out for a relaxed structure of MgPt2Br.

DOS(E_F) (states/eV/f.u.): 2.72

a = 4.062 Å, b = 4.062 Å, c = 8.549 Å
α = 90.00°, β = 90.00°, γ = 90.00°
Space group I-4m2 (No. 119)
Unique sites:
1 Mg 0.000 0.000 0.000 (multiplicity 2)
2 Pt 0.000 0.000 0.500 (multiplicity 2)
3 Pt 0.000 0.500 0.750 (multiplicity 2)
4 Br 0.000 0.500 0.250 (multiplicity 2)

Verdict on stability: P comes out on top.

P:
A plane-wave DFT calculation with GGA-PBE was carried out for a relaxed structure of MgPt2Br.

DOS(E_F) (states/eV/f.u.): 4.76

a = 6.607 Å, b = 6.607 Å, c = 6.607 Å
α = 90.00°, β = 90.00°, γ = 90.00°
Space group F-43m (No. 216)
Unique sites:
1 Mg 0.000 0.000 0.000 (multiplicity 4)
2 Pt 0.000 0.000 0.500 (multiplicity 4)
3 Pt 0.250 0.250 0.750 (multiplicity 4)
4 Br 0.250 0.250 0.250 (multiplicity 4)

Q:
A plane-wave DFT calculation with GGA-PBE was carried out for a relaxed structure of MgPt2Br.

DOS(E_F) (states/eV/f.u.): 1.70

a = 10.026 Å, b = 3.207 Å, c = 4.511 Å
α = 90.00°, β = 98.75°, γ = 90.00°
Space group C2/m (No. 12)
Unique sites:
1 Mg 0.000 0.000 0.000 (multiplicity 2)
2 Pt 0.226 0.500 0.230 (multiplicity 4)
3 Br 0.000 0.500 0.500 (multiplicity 2)

Verdict on stability: Q comes out on top.

P:
A plane-wave DFT calculation with GGA-PBE was carried out for a relaxed structure of MgPt3Br.

DOS(E_F) (states/eV/f.u.): 2.96

a = 4.775 Å, b = 4.775 Å, c = 4.775 Å
α = 90.00°, β = 90.00°, γ = 90.00°
Space group Pm-3m (No. 221)
Unique sites:
1 Mg 0.000 0.000 0.000 (multiplicity 1)
2 Pt 0.000 0.500 0.500 (multiplicity 3)
3 Br 0.500 0.500 0.500 (multiplicity 1)

Q:
A plane-wave DFT calculation with GGA-PBE was carried out for a relaxed structure of MgPt3Br.

DOS(E_F) (states/eV/f.u.): 8.38

a = 4.741 Å, b = 4.741 Å, c = 4.741 Å
α = 90.00°, β = 90.00°, γ = 90.00°
Space group Pm-3m (No. 221)
Unique sites:
1 Mg 0.000 0.000 0.000 (multiplicity 1)
2 Pt 0.000 0.000 0.500 (multiplicity 3)
3 Br 0.500 0.500 0.500 (multiplicity 1)

Verdict on stability: P comes out on top.

P:
A plane-wave DFT calculation with GGA-PBE was carried out for a relaxed structure of Rb2MgPtBr6.

DOS(E_F) (states/eV/f.u.): 3.08

a = 7.6171 Å, b = 7.6171 Å, c = 38.5758 Å
α = 90.00°, β = 90.00°, γ = 120.00°
Space group R-3m (No. 166, hexagonal axes)
Unique sites:
1 Rb 0.0000 0.0000 0.1189 (multiplicity 6)
2 Rb 0.0000 0.0000 0.2989 (multiplicity 6)
3 Mg 0.0000 0.0000 0.4155 (multiplicity 6)
4 Pt 0.0000 0.0000 0.0000 (multiplicity 3)
5 Pt 0.0000 0.0000 0.5000 (multiplicity 3)
6 Br 0.0016 0.5008 0.7080 (multiplicity 18)
7 Br 0.0118 0.5059 0.1250 (multiplicity 18)

Q:
A plane-wave DFT calculation with GGA-PBE was carried out for a relaxed structure of Rb2MgPtBr6.

DOS(E_F) (states/eV/f.u.): 0.00

a = 7.541 Å, b = 7.541 Å, c = 11.913 Å
α = 90.00°, β = 90.00°, γ = 90.00°
Space group I4/mmm (No. 139)
Unique sites:
1 Rb 0.000 0.500 0.250 (multiplicity 4)
2 Mg 0.000 0.000 0.000 (multiplicity 2)
3 Pt 0.000 0.000 0.500 (multiplicity 2)
4 Br 0.000 0.000 0.209 (multiplicity 4)
5 Br 0.231 0.231 0.500 (multiplicity 8)

Verdict on stability: Q comes out on top.